Entry from the Alexandria database: Na4Tm3ThS8 after structural relaxation (PBE).

Computed properties:
**Total magnetization**: 0.00 Bohr magnetons per cell
**SG**: R-3m (166)
**Formation energy (no corrections)**: -1.783 eV per atom

a b c (Å): 8.1144 8.1144 8.1144
angles (deg): 58.38 58.38 58.38
Atoms (fractional coordinates):
Na 0.0000 0.0000 0.0000
Na 0.0000 0.5000 0.5000
Na 0.5000 0.0000 0.5000
Na 0.5000 0.5000 0.0000
Tm 0.0000 0.0000 0.5000
Tm 0.0000 0.5000 0.0000
Tm 0.5000 0.0000 0.0000
Th 0.5000 0.5000 0.5000
S 0.2364 0.7469 0.7469
S 0.2413 0.2413 0.2413
S 0.2531 0.2531 0.7636
S 0.2531 0.7636 0.2531
S 0.7469 0.2364 0.7469
S 0.7469 0.7469 0.2364
S 0.7587 0.7587 0.7587
S 0.7636 0.2531 0.2531

---

Entry from the Alexandria database: AcSmUN4 after structural relaxation (PBE).

Computed properties:
**Total magnetization**: 0.00 Bohr magnetons per cell
**SG**: Cmcm (63)
**Formation energy (no corrections)**: -1.282 eV per atom

a b c (Å): 7.1879 7.1879 6.0308
angles (deg): 90.00 90.00 130.53
Atoms (fractional coordinates):
Ac 0.1016 0.8984 0.7500
Ac 0.8984 0.1016 0.2500
Sm 0.3994 0.6006 0.7500
Sm 0.6006 0.3994 0.2500
U 0.2524 0.7476 0.2500
U 0.7476 0.2524 0.7500
N 0.0000 0.5000 0.0000
N 0.0000 0.5000 0.5000
N 0.0858 0.9142 0.2500
N 0.4256 0.5744 0.2500
N 0.5000 0.0000 0.0000
N 0.5000 0.0000 0.5000
N 0.5744 0.4256 0.7500
N 0.9142 0.0858 0.7500

---

Entry from the Alexandria database: CdTcBr2 after structural relaxation (PBE).

Computed properties:
**Total magnetization**: 2.40 Bohr magnetons per cell
**SG**: Cm (8)
**Polymorph energy (0 for the lowest one)**: 62.6 meV per atom
**Formation energy (no corrections)**: 0.090 eV per atom

a b c (Å): 10.5523 3.2184 7.5207
angles (deg): 90.00 112.29 90.00
Atoms (fractional coordinates):
Cd 0.0000 0.0000 0.0000
Cd 0.5000 0.5000 0.0000
Tc 0.2335 0.5000 0.0000
Tc 0.7335 0.0000 0.0000
Br 0.1713 0.0000 0.7143
Br 0.3257 0.0000 0.2856
Br 0.6713 0.5000 0.7143
Br 0.8257 0.5000 0.2856

---

Entry from the Alexandria database: Sr3Tc after structural relaxation (PBE).

Computed properties:
**Energy relative to the elements**: 0.841 eV per atom
**Total magnetization**: 1.60 Bohr magnetons per cell
**SG**: Pmm2 (25)

a b c (Å): 3.8353 5.4608 7.0290
angles (deg): 90.00 90.00 90.00
Atoms (fractional coordinates):
Sr 0.0000 0.0000 0.0000
Sr 0.0000 0.5000 0.3820
Sr 0.5000 0.0000 0.5800
Tc 0.5000 0.5000 0.7901